Record 1
! NaTlSn4S8 PBE-GGA relaxed; values from VASP
&SYSTEM
  ibrav = 0, nat = 14, ntyp = 4
/
ATOMIC_SPECIES
Sn 118.71 Sn.upf
S 32.06 S.upf
Na 22.99 Na.upf
Tl 204.38 Tl.upf
CELL_PARAMETERS angstrom
-6.9098 2.2185 -2.3455
-6.1904 -3.9062 2.1422
-5.0440 3.9409 6.1870
ATOMIC_POSITIONS angstrom
Sn -5.9582 3.0745 1.9652
S -7.9404 2.0458 0.5274
S -11.3193 -0.0864 1.6966
Sn -8.8450 -0.3831 0.8950
Na -5.0257 3.8195 6.0184
S -7.5477 -1.2973 2.9769
S -13.5628 1.3886 4.0693
S -10.1692 0.1881 5.3364
S -6.8743 2.2672 4.1962
S -10.5522 3.4481 2.9478
Sn -5.6045 0.0637 4.1712
Tl -9.3412 2.9164 5.4777
Sn -2.5615 1.9839 3.1182
S -4.5785 0.8456 1.8880
! Uncorrected energy, eV/atom: -4.19
! V, Å³ per cell: 389.8
! Formation energy from raw total energies, meV per atom: -423
! Magnetization, μB per cell: 0.0

---

Record 2
! Li2IrW PBE-GGA relaxed; values from VASP
&SYSTEM
  ibrav = 0, nat = 4, ntyp = 3
/
ATOMIC_SPECIES
W 183.84 W.upf
Li 6.94 Li.upf
Ir 192.22 Ir.upf
CELL_PARAMETERS angstrom
3.1823 0.0000 0.0000
0.0000 3.1823 0.0000
0.0000 0.0000 5.2079
ATOMIC_POSITIONS angstrom
W 1.5912 1.5912 1.3020
Li 0.0000 0.0000 5.0772
Li 0.0000 0.0000 2.7346
Ir 1.5912 1.5912 3.9059
! Uncorrected energy, eV/atom: -5.91
! V, Å³ per cell: 52.7
! Magnetization, μB per cell: 0.0

---

Record 3
! AcHg2Ge PBE-GGA relaxed; values from VASP
&SYSTEM
  ibrav = 0, nat = 4, ntyp = 3
/
ATOMIC_SPECIES
Ac 227.00 Ac.upf
Hg 200.59 Hg.upf
Ge 72.64 Ge.upf
CELL_PARAMETERS angstrom
-3.2691 3.6369 -1.7546
-1.0301 -2.6698 -3.6147
-3.4320 -1.9266 2.4010
ATOMIC_POSITIONS angstrom
Ac -3.8656 -0.4797 -1.4841
Hg -1.7160 -0.9633 1.2005
Ge -1.6345 1.8184 -0.8773
Hg -0.5150 -1.3349 -1.8073
! Uncorrected energy, eV/atom: -2.69
! V, Å³ per cell: 110.4
! Magnetization, μB per cell: 0.0

---

Record 4
! CsTi3B PBE-GGA relaxed; values from VASP
&SYSTEM
  ibrav = 0, nat = 5, ntyp = 3
/
ATOMIC_SPECIES
Ti 47.87 Ti.upf
B 10.81 B.upf
Cs 132.91 Cs.upf
CELL_PARAMETERS angstrom
4.5644 0.0000 0.0000
0.0000 4.5644 0.0000
0.0000 0.0000 4.5644
ATOMIC_POSITIONS angstrom
Ti 2.2822 0.0000 0.0000
Ti 0.0000 0.0000 2.2822
B 0.0000 0.0000 0.0000
Ti 0.0000 2.2822 0.0000
Cs 2.2822 2.2822 2.2822
! Uncorrected energy, eV/atom: -5.41
! V, Å³ per cell: 95.1
! Magnetization, μB per cell: 0.0
! Polymorph energy (0 for the lowest one), meV/atom: 0